# Cs2LiAlPd

A geometry-optimized Cs2LiAlPd structure (PBEsol, Alexandria).

Lattice parameters (Å, degrees): 6.587 6.587 5.176 90.00 90.00 90.00
Space group P4/mmm (No. 123)
Inequivalent atoms, fractional coordinates:
Cs  0.000  0.500  0.000 x2
Li  0.000  0.000  0.500 x1
Al  0.000  0.000  0.000 x1
Pd  0.500  0.500  0.500 x1

Calculated values
total energy = -1.980 eV/atom
energy of formation from the pure elements = 0.7999 eV/atom